An optimized crystal structure of BeMoNO2, computed with PBE+U.

The value obtained for the density of states at the Fermi level is 1.3 states/eV/f.u. The calculation puts the uncorrected energy at -29.5 eV for the cell shown. Its space group is P4/mmm. For the volume, the calculation gives 60 Å³/cell. The calculation puts the magnetic moment at 0.548 μB per cell.

Lattice parameters (Å, degrees): 3.8557 3.8557 4.0318 90.00 90.00 90.00
Last column: magnetic moment on the atom in μB.
Atoms (fractional coordinates):
O  0.5000  0.0000  0.0000  -0.03
O  0.0000  0.5000  0.0000  -0.03
Mo  0.0000  0.0000  0.0000  0.56
N  0.0000  0.0000  0.5000  -0.08
Be  0.5000  0.5000  0.5000  0.06


An optimized crystal structure of BeMoNO2, computed with PBE+U.

The value obtained for the density of states at the Fermi level is 1.5 states/eV/f.u. The calculation puts the uncorrected energy at -30.9 eV for the cell shown. Its space group is P4/mmm. For the volume, the calculation gives 42 Å³/cell. The calculation puts the magnetic moment at 1.001 μB per cell.

Lattice parameters (Å, degrees): 3.3894 3.3894 3.6956 90.00 90.00 90.00
Last column: magnetic moment on the atom in μB.
Atoms (fractional coordinates):
O  0.0000  0.5000  0.0000  -0.30
O  0.5000  0.0000  0.0000  -0.30
N  0.0000  0.0000  0.5000  -0.55
Mo  0.5000  0.5000  0.5000  2.33
Be  0.0000  0.0000  0.0000  0.01